This record from the Alexandria database describes an optimized crystal structure of RbGe2O4. The functional is GGA-PBE.

raw total energy: -5.69 eV per atom
formation energy without anion corrections: -1403.2 meV/atom
volume: 25.683 Å³/atom
magnetic moment: 0.00 μB/atom

a = 8.161 Å, b = 8.161 Å, c = 5.399 Å
α = 90.00°, β = 90.00°, γ = 90.00°
Space group I4/m (No. 87)
Symmetry-distinct sites (fractional):
1 Rb 0.000 0.000 0.000 (multiplicity 2)
2 Ge 0.000 0.500 0.250 (multiplicity 4)
3 O 0.055 0.352 0.000 (multiplicity 8)